A geometry-optimized MnTc2 structure, computed with GGA-PBEsol.

Properties
The total DFT energy (no corrections) comes out at -10.76 eV per atom. For the energy relative to the elements, the calculation gives 0.0 meV per atom. The mass density comes out at 10.71 Mg/m³. As for the size of the total moment: 0.0 μB per formula unit. As for the energy above the most stable polymorph in this dataset: 0.0 meV per atom.

```
data_MnTc2
_symmetry_space_group_name_H-M 'P 1'
_symmetry_Int_Tables_number 1
_cell_length_a 4.5675
_cell_length_b 4.7180
_cell_length_c 4.7180
_cell_angle_alpha 76.45
_cell_angle_beta 61.05
_cell_angle_gamma 61.05
loop_
_symmetry_equiv_pos_as_xyz
'x,y,z'
loop_
_atom_site_label
_atom_site_type_symbol
_atom_site_fract_x
_atom_site_fract_y
_atom_site_fract_z
_atom_site_occupancy
Mn1 Mn 0.7500 0.0000 0.0000 1
Mn2 Mn 0.2500 0.0000 0.0000 1
Tc1 Tc 0.6501 0.5000 0.1998 1
Tc2 Tc 0.1501 0.1998 0.5000 1
Tc3 Tc 0.8499 0.8002 0.5000 1
Tc4 Tc 0.3499 0.5000 0.8002 1
```

***

A geometry-optimized MgScMn2As structure, computed with GGA-PBEsol.

Properties
The total DFT energy (no corrections) comes out at -5.26 eV per atom. For the energy relative to the elements, the calculation gives 1329.4 meV per atom. The mass density comes out at 4.09 Mg/m³. As for the size of the total moment: 5.5 μB per formula unit.

```
data_MgScMn2As
_symmetry_space_group_name_H-M 'P 1'
_symmetry_Int_Tables_number 1
_cell_length_a 4.4329
_cell_length_b 4.4329
_cell_length_c 5.2551
_cell_angle_alpha 90.00
_cell_angle_beta 90.00
_cell_angle_gamma 90.00
loop_
_symmetry_equiv_pos_as_xyz
'x,y,z'
loop_
_atom_site_label
_atom_site_type_symbol
_atom_site_fract_x
_atom_site_fract_y
_atom_site_fract_z
_atom_site_occupancy
Sc1 Sc 0.0000 0.0000 0.0000 1
As1 As 0.5000 0.5000 0.5000 1
Mn1 Mn 0.0000 0.5000 0.0000 1
Mn2 Mn 0.5000 0.0000 0.0000 1
Mg1 Mg 0.0000 0.0000 0.5000 1
```